[1]
Dy2Mg3Cu2: optimized geometry, PBE.

Structure (extended XYZ):
```
7
Lattice="2.067 -10.442 0.000 2.067 10.442 0.000 0.000 0.000 3.564" Properties=species:S:1:pos:R:3 pbc="T T T"
Mg 0.000 0.000 0.000
Mg 2.067 -1.616 1.782
Mg 2.067 1.616 1.782
Dy 2.067 6.842 0.000
Dy 2.067 -6.842 0.000
Cu 2.067 4.472 1.782
Cu 2.067 -4.472 1.782
```

***

[2]
HfCuReMo: optimized geometry, PBE.

Structure (extended XYZ):
```
4
Lattice="1.179 -2.840 3.229 1.387 1.557 3.941 -2.574 -0.463 3.611" Properties=species:S:1:pos:R:3 pbc="T T T"
Mo -0.002 -0.436 2.695
Cu -0.006 -1.309 8.086
Re -0.004 -0.873 5.391
Hf 0.000 0.000 0.000
```

Values from the calculation:
**Formation energy**: 0.04 eV/atom
**ΔE to the lowest computed polymorph**: 48.8 meV per atom

***

[3]
TbTmSnC: optimized geometry, PBE.

Structure (extended XYZ):
```
8
Lattice="3.600 0.000 0.000 -1.800 3.118 0.000 0.000 0.000 15.819" Properties=species:S:1:pos:R:3 pbc="T T T"
Tm 0.000 2.079 6.605
Tm 1.800 1.039 9.214
Sn 1.800 1.039 4.016
Sn 0.000 2.079 11.802
Tb 0.000 2.079 1.360
Tb 1.800 1.039 14.459
C 0.000 0.000 0.000
C 0.000 0.000 7.909
```

***

[4]
Pm2NdN3: optimized geometry, PBE.

Structure (extended XYZ):
```
6
Lattice="-0.748 0.825 -3.433 2.433 -2.557 0.753 -6.396 -6.110 -0.074" Properties=species:S:1:pos:R:3 pbc="T T T"
Nd -3.198 -3.055 -0.037
Pm -0.751 -1.318 -2.050
Pm -3.960 -6.524 -0.704
N -0.753 -3.460 -0.667
N 0.000 0.000 0.000
N -3.958 -4.382 -2.087
```

***

Number 1: VASP energy -3.20 eV/atom. Number 2: VASP energy -9.20 eV/atom. Number 3: VASP energy -6.13 eV/atom. Number 4: VASP energy -7.95 eV/atom.